1.
{
  "formula": "Co2Ag",
  "functional": "PBE-GGA",
  "state": "relaxed",
  "e_tot_ev_per_fu": -16.26,
  "formation_energy_ev_per_fu": 0.81,
  "magmom_total_mub_per_atom": 1.16,
  "polymorph_energy_ev_per_atom": 0.000,
  "lattice": [[-0.2572, -4.8131, -1.3794], [2.3799, -4.2905, -1.0308], [0.0338, -3.7509, 5.3681]],
  "species": ["Co", "Co", "Co", "Co", "Ag", "Ag"],
  "frac_coords": [[0.9686, 0.9686, 0.7183], [0.0314, 0.0314, 0.2817], [0.6525, 0.6525, 0.4715], [0.3475, 0.3475, 0.5285], [0.6586, 0.6586, 0.8913], [0.3414, 0.3414, 0.1087]]
}

---

2.
{
  "formula": "Nd8Ga3SeBr4",
  "functional": "PBE-GGA",
  "state": "relaxed",
  "e_tot_ev_per_fu": -74.57,
  "magmom_total_mub_per_atom": 0.00,
  "formation_energy_uncorrected_mev_per_atom": -1073,
  "lattice": [[-2.6788, 2.1555, 7.9253], [5.8304, -5.5200, 3.4720], [2.6625, 6.1294, -5.4756]],
  "species": ["Nd", "Nd", "Nd", "Nd", "Nd", "Nd", "Nd", "Nd", "Ga", "Ga", "Ga", "Se", "Br", "Br", "Br", "Br"],
  "frac_coords": [[0.2427, 0.7193, 0.9766], [0.2427, 0.7193, 0.4854], [0.2593, 0.2780, 0.5187], [0.7339, 0.7193, 0.9766], [0.2661, 0.2807, 0.0234], [0.7407, 0.7220, 0.4813], [0.7573, 0.2807, 0.5146], [0.7573, 0.2807, 0.0234], [0.5000, 0.5000, 0.0000], [0.5000, 0.5000, 0.5000], [0.0000, 0.5000, 0.5000], [0.0000, 0.5000, 0.0000], [0.5000, 0.0000, 0.0000], [0.5000, 0.0000, 0.5000], [0.0000, 0.0000, 0.0000], [0.0000, 0.0000, 0.5000]]
}

---

3.
{
  "formula": "Ta2COF",
  "functional": "PBE-GGA",
  "state": "relaxed",
  "e_tot_ev_per_fu": -33.80,
  "magmom_total_mub_per_atom": 0.00,
  "formation_energy_uncorrected_mev_per_atom": 1192,
  "lattice": [[-3.8280, -1.7137, 0.5439], [1.3352, -2.2690, 2.2484], [-0.7565, 2.6957, 3.1697]],
  "species": ["C", "F", "O", "Ta", "Ta"],
  "frac_coords": [[0.0000, 0.5000, 0.0000], [0.0000, 0.0000, 0.0000], [0.5000, 0.5000, 0.5000], [0.0000, 0.0000, 0.5000], [0.5000, 0.0000, 0.0000]]
}